(1)
Density functional theory data (PBE) for TcNiPt after structural relaxation.

Cell and atoms, written as POSCAR:
```
TcNiPt
1.0
4.027 0.000 0.000
2.014 3.488 0.000
2.014 1.163 3.288
Tc Pt Ni
1 1 1
Cartesian
4.027 2.325 1.644
0.000 0.000 0.000
6.041 3.488 2.466
```

Calculated values
Space group: F-43m, No. 216
DFT formation energy: 369 meV/atom
Polymorph energy (0 for the lowest one): 483 meV per atom

(2)
Density functional theory data (PBE) for TcNi4Pt5 after structural relaxation.

Cell and atoms, written as POSCAR:
```
TcNi4Pt5
1.0
2.724 0.000 0.000
0.000 2.724 0.000
0.000 0.000 18.528
Pt Tc Ni
5 1 4
Cartesian
1.362 1.362 9.264
1.362 1.362 16.583
1.362 1.362 12.898
1.362 1.362 5.630
1.362 1.362 1.945
0.000 0.000 0.000
0.000 0.000 3.821
0.000 0.000 7.444
0.000 0.000 14.707
0.000 0.000 11.085
```

Calculated values
Space group: P4/mmm, No. 123
DFT formation energy: -121 meV/atom

(3)
Density functional theory data (PBE) for TcNi8Pt2 after structural relaxation.

Cell and atoms, written as POSCAR:
```
TcNi8Pt2
1.0
-0.401 4.437 -0.055
-3.653 -1.011 2.336
4.276 0.349 5.353
Pt Ni Tc
2 8 1
Cartesian
2.072 3.906 4.254
-1.851 -0.131 3.379
0.835 3.813 6.513
-0.289 2.934 4.350
-0.691 0.721 5.514
-0.613 -0.037 1.120
0.511 0.841 3.283
0.912 3.055 2.119
-1.452 2.141 2.180
1.673 1.635 5.453
-0.201 2.219 -0.028
```

Calculated values
Space group: P-1, No. 2
DFT formation energy: -33 meV/atom

(4)
Density functional theory data (PBE) for TcNi2Pt5 after structural relaxation.

Cell and atoms, written as POSCAR:
```
TcNi2Pt5
1.0
-3.073 5.590 -1.500
0.497 -1.438 -6.374
-3.535 -4.671 4.147
Pt Ni Tc
10 4 2
Cartesian
-2.474 0.871 -1.458
-1.664 -0.869 -4.371
-2.191 -3.922 -0.355
-3.110 1.663 -6.286
-3.920 3.403 -3.373
-4.447 0.350 0.643
0.000 0.000 0.000
-1.288 2.076 -3.937
-3.637 -1.390 -2.270
-3.001 -2.182 2.558
-0.232 0.227 -2.531
-0.693 0.799 -6.065
-1.883 3.353 -1.809
-2.344 3.926 -5.343
-2.411 -1.298 0.105
-3.700 0.778 -3.833
```

Calculated values
Space group: I4/mcm, No. 140
DFT formation energy: 52 meV/atom
Polymorph energy (0 for the lowest one): 133 meV per atom

(5)
Density functional theory data (PBE) for Tc2NiPt after structural relaxation.

Cell and atoms, written as POSCAR:
```
Tc2NiPt
1.0
5.374 0.000 0.000
0.000 5.374 0.000
2.687 2.687 5.535
Tc Pt Ni
4 2 2
Cartesian
6.718 6.582 4.151
4.031 4.167 4.151
3.895 1.344 1.384
1.480 4.031 1.384
0.000 0.000 0.000
5.374 2.687 2.768
2.687 2.687 0.000
2.687 5.374 2.768
```

Calculated values
Space group: I-42d, No. 122
DFT formation energy: 1170 meV/atom
Polymorph energy (0 for the lowest one): 1234 meV per atom

(6)
Density functional theory data (PBE) for Tc2NiPt after structural relaxation.

Cell and atoms, written as POSCAR:
```
Tc2NiPt
1.0
2.694 0.000 0.000
0.000 3.895 0.000
0.000 0.000 5.344
Pt Tc Ni
1 2 1
Cartesian
1.347 1.948 4.008
0.000 0.000 2.510
0.000 0.000 0.161
1.347 1.948 1.336
```

Calculated values
Space group: Pmmm, No. 47
DFT formation energy: -64 meV/atom
Polymorph energy (0 for the lowest one): 0 meV per atom

(7)
Density functional theory data (PBE) for TcNiPt2 after structural relaxation.

Cell and atoms, written as POSCAR:
```
TcNiPt2
1.0
4.342 0.000 0.000
2.171 3.761 0.000
2.171 1.254 3.546
Pt Tc Ni
2 1 1
Cartesian
2.171 1.254 0.886
0.000 0.000 0.000
6.514 3.761 2.659
4.342 2.507 1.773
```

Calculated values
Space group: F-43m, No. 216
DFT formation energy: 134 meV/atom
Polymorph energy (0 for the lowest one): 287 meV per atom

(8)
Density functional theory data (PBE) for Tc2NiPt after structural relaxation.

Cell and atoms, written as POSCAR:
```
Tc2NiPt
1.0
4.725 -0.006 0.006
3.947 2.598 0.006
0.772 0.231 4.545
Ni Tc Pt
1 2 1
Cartesian
7.084 2.117 3.418
4.721 1.411 2.330
0.774 0.231 4.494
2.361 0.706 1.139
```

Calculated values
Space group: C2/m, No. 12
DFT formation energy: -7 meV/atom
Polymorph energy (0 for the lowest one): 57 meV per atom

Number 7 is which compound?
TcNiPt2